Computed, not measured: a geometry-optimized La2UO6 structure at the PBE level of DFT.

calculated density	6.64	g/cm3
density of states at the Fermi level	0.000	states/eV per atom
energy above the most stable polymorph in this dataset	0.041	eV per atom
formation energy (no corrections)	-3387	meV per atom
symmetry	P4_2/mnm

a = 5.2717 Å, b = 5.2717 Å, c = 11.0166 Å
α = 90.00°, β = 90.00°, γ = 90.00°
Atoms (fractional coordinates):
La 0.5000 0.5000 0.8332
La 0.5000 0.5000 0.1668
La 0.0000 0.0000 0.6668
La 0.0000 0.0000 0.3332
O 0.7813 0.2187 0.5000
O 0.3209 0.3209 0.3515
O 0.2813 0.2813 0.0000
O 0.8209 0.1791 0.8515
O 0.3209 0.3209 0.6485
O 0.1791 0.8209 0.1485
O 0.8209 0.1791 0.1485
O 0.6791 0.6791 0.3515
O 0.2187 0.7813 0.5000
O 0.7187 0.7187 0.0000
O 0.6791 0.6791 0.6485
O 0.1791 0.8209 0.8515
U 0.0000 0.0000 0.0000
U 0.5000 0.5000 0.5000


Computed, not measured: a geometry-optimized La3U5O12 structure at the PBE level of DFT.

calculated density	8.88	g/cm3
density of states at the Fermi level	1.261	states/eV per atom
formation energy (no corrections)	-2959	meV per atom
symmetry	Ia-3d

a = 12.0445 Å, b = 12.0445 Å, c = 12.0445 Å
α = 109.47°, β = 109.47°, γ = 109.47°
Site moments in Bohr magnetons follow the coordinates.
Atoms (fractional coordinates):
O 0.3704 0.4098 0.0827  -0.04
O 0.0827 0.9098 0.3704  -0.04
O 0.8704 0.5827 0.9098  -0.04
O 0.4173 0.1296 0.5902  -0.04
O 0.8271 0.9098 0.0395  -0.04
O 0.9173 0.0902 0.6296  -0.04
O 0.5395 0.2123 0.1296  -0.04
O 0.7877 0.3271 0.9173  -0.04
O 0.0827 0.1729 0.2123  -0.04
O 0.4098 0.0395 0.3271  -0.04
O 0.6729 0.2123 0.5827  -0.04
O 0.2123 0.6729 0.0827  -0.04
O 0.4173 0.2877 0.3271  -0.04
O 0.5902 0.6296 0.4173  -0.04
O 0.7123 0.5827 0.1729  -0.04
O 0.1729 0.0902 0.9605  -0.04
O 0.5827 0.7123 0.6729  -0.04
O 0.5827 0.8704 0.4098  -0.04
O 0.0902 0.1729 0.4605  -0.04
O 0.4098 0.3704 0.5827  -0.04
O 0.6296 0.0395 0.2123  -0.04
O 0.4605 0.7877 0.8704  -0.04
O 0.6729 0.4605 0.5902  -0.04
O 0.3271 0.7877 0.4173  -0.04
O 0.9605 0.5902 0.1729  -0.04
O 0.7123 0.1296 0.0395  -0.04
O 0.3271 0.5395 0.4098  -0.04
O 0.0395 0.4098 0.8271  -0.04
O 0.2877 0.4173 0.8271  -0.04
O 0.0902 0.9173 0.1296  -0.04
O 0.6296 0.5902 0.9173  -0.04
O 0.9098 0.0827 0.8704  -0.04
O 0.5902 0.9605 0.6729  -0.04
O 0.5395 0.3271 0.9098  -0.04
O 0.7877 0.4605 0.3704  -0.04
O 0.9605 0.3704 0.2877  -0.04
O 0.9098 0.8271 0.5395  -0.04
O 0.3704 0.9605 0.7877  -0.04
O 0.2877 0.8704 0.9605  -0.04
O 0.4605 0.6729 0.0902  -0.04
O 0.1296 0.7123 0.5395  -0.04
O 0.9173 0.8271 0.7877  -0.04
O 0.1296 0.4173 0.0902  -0.04
O 0.0395 0.6296 0.7123  -0.04
O 0.2123 0.5395 0.6296  -0.04
O 0.8271 0.9173 0.2877  -0.04
O 0.8704 0.2877 0.4605  -0.04
O 0.1729 0.0827 0.7123  -0.04
La 0.1250 0.8750 0.7500  0.13
La 0.1250 0.2500 0.8750  0.13
La 0.7500 0.8750 0.6250  0.13
La 0.7500 0.3750 0.1250  0.13
La 0.6250 0.3750 0.7500  0.13
La 0.3750 0.7500 0.6250  0.13
La 0.8750 0.1250 0.2500  0.13
La 0.3750 0.6250 0.2500  0.13
La 0.2500 0.6250 0.8750  0.13
La 0.2500 0.1250 0.3750  0.13
La 0.8750 0.7500 0.1250  0.13
La 0.6250 0.2500 0.3750  0.13
U 0.0000 0.5000 0.0000  2.06
U 0.6250 0.8750 0.2500  1.88
U 0.1250 0.7500 0.3750  1.88
U 0.2500 0.8750 0.1250  1.88
U 0.0000 0.5000 0.5000  2.06
U 0.8750 0.2500 0.6250  1.88
U 0.1250 0.3750 0.2500  1.88
U 0.7500 0.6250 0.3750  1.88
U 0.0000 0.0000 0.0000  2.06
U 0.3750 0.1250 0.7500  1.88
U 0.2500 0.3750 0.6250  1.88
U 0.5000 0.0000 0.0000  2.06
U 0.7500 0.1250 0.8750  1.88
U 0.0000 0.0000 0.5000  2.06
U 0.5000 0.0000 0.5000  2.06
U 0.6250 0.7500 0.8750  1.88
U 0.5000 0.5000 0.0000  2.06
U 0.5000 0.5000 0.5000  2.06
U 0.8750 0.6250 0.7500  1.88
U 0.3750 0.2500 0.1250  1.88


Computed, not measured: a geometry-optimized La2U2O7 structure at the PBE level of DFT.

calculated density	8.30	g/cm3
density of states at the Fermi level	1.069	states/eV per atom
formation energy (no corrections)	-3368	meV per atom
symmetry	Fd-3m

a = 7.8838 Å, b = 7.8838 Å, c = 7.8838 Å
α = 60.00°, β = 60.00°, γ = 60.00°
Site moments in Bohr magnetons follow the coordinates.
Atoms (fractional coordinates):
U 0.1250 0.1250 0.1250  1.86
U 0.1250 0.6250 0.1250  1.86
U 0.1250 0.1250 0.6250  1.86
U 0.6250 0.1250 0.1250  1.86
O 0.0288 0.0288 0.4712  -0.04
O 0.2212 0.2212 0.7788  -0.04
O 0.2212 0.7788 0.2212  -0.04
O 0.7788 0.2212 0.2212  -0.04
O 0.7788 0.7788 0.2212  -0.04
O 0.7500 0.7500 0.7500  0.00
O 0.4712 0.0288 0.4712  -0.04
O 0.5000 0.5000 0.5000  0.00
O 0.2212 0.7788 0.7788  -0.04
O 0.0288 0.4712 0.0288  -0.04
O 0.7788 0.2212 0.7788  -0.04
O 0.0288 0.4712 0.4712  -0.04
O 0.4712 0.0288 0.0288  -0.04
O 0.4712 0.4712 0.0288  -0.04
La 0.6250 0.6250 0.1250  0.02
La 0.1250 0.6250 0.6250  0.02
La 0.6250 0.1250 0.6250  0.02
La 0.6250 0.6250 0.6250  0.02


Computed, not measured: a geometry-optimized LaU2O8 structure at the PBE level of DFT.

calculated density	8.96	g/cm3
density of states at the Fermi level	0.009	states/eV per atom
formation energy (no corrections)	-2895	meV per atom
symmetry	C2/m

a = 4.0621 Å, b = 6.1483 Å, c = 6.1483 Å
α = 115.35°, β = 93.68°, γ = 93.68°
Site moments in Bohr magnetons follow the coordinates.
Atoms (fractional coordinates):
O 0.9488 0.9357 0.6699  0.04
O 0.3090 0.5988 0.5988  0.35
O 0.5000 0.7486 0.2514  0.01
O 0.0512 0.0643 0.3301  0.04
O 0.0512 0.3301 0.0643  0.04
O 0.6910 0.4012 0.4012  0.35
O 0.9488 0.6699 0.9357  0.04
O 0.5000 0.2514 0.7486  0.01
U 0.0000 0.6767 0.3233  -0.01
U 0.0000 0.3233 0.6767  -0.01
La 0.5000 0.0000 0.0000  0.00


Computed, not measured: a geometry-optimized La6UO12 structure at the PBE level of DFT.

calculated density	6.56	g/cm3
density of states at the Fermi level	0.000	states/eV per atom
formation energy (no corrections)	-3501	meV per atom
symmetry	R-3

a = 6.9263 Å, b = 6.9263 Å, c = 6.9263 Å
α = 98.67°, β = 98.67°, γ = 98.67°
Atoms (fractional coordinates):
U 0.0000 0.0000 0.0000
La 0.6895 0.3932 0.8560
La 0.3932 0.8560 0.6895
La 0.6068 0.1440 0.3105
La 0.8560 0.6895 0.3932
La 0.3105 0.6068 0.1440
La 0.1440 0.3105 0.6068
O 0.7039 0.0431 0.9318
O 0.5928 0.4369 0.1770
O 0.1770 0.5928 0.4369
O 0.0431 0.9318 0.7039
O 0.4072 0.5631 0.8230
O 0.4369 0.1770 0.5928
O 0.8230 0.4072 0.5631
O 0.0682 0.2961 0.9569
O 0.9569 0.0682 0.2961
O 0.5631 0.8230 0.4072
O 0.9318 0.7039 0.0431
O 0.2961 0.9569 0.0682


Computed, not measured: a geometry-optimized La3UO7 structure at the PBE level of DFT.

calculated density	7.07	g/cm3
formation energy (no corrections)	-3505	meV per atom
symmetry	Cmcm

a = 6.8901 Å, b = 6.8901 Å, c = 8.0711 Å
α = 90.00°, β = 90.00°, γ = 110.02°
Site moments in Bohr magnetons follow the coordinates.
Atoms (fractional coordinates):
U 0.0000 0.0000 0.5000  1.05
U 0.0000 0.0000 0.0000  1.05
O 0.9201 0.6748 0.4719  -0.02
O 0.0799 0.3252 0.9719  -0.02
O 0.6746 0.9199 0.9721  -0.02
O 0.0795 0.9205 0.7500  -0.03
O 0.3709 0.6291 0.2500  0.00
O 0.3651 0.6349 0.7500  0.00
O 0.9199 0.6746 0.0279  -0.02
O 0.3254 0.0801 0.4721  -0.02
O 0.0801 0.3254 0.5279  -0.02
O 0.6291 0.3709 0.7500  0.00
O 0.9205 0.0795 0.2500  -0.03
O 0.6349 0.3651 0.2500  0.00
O 0.3252 0.0799 0.0281  -0.02
O 0.6748 0.9201 0.5281  -0.02
La 0.4709 0.9984 0.7501  0.00
La 0.9984 0.4709 0.2499  0.00
La 0.5003 0.5003 0.0000  0.00
La 0.4997 0.4997 0.5000  0.00
La 0.5291 0.0016 0.2501  0.00
La 0.0016 0.5291 0.7499  0.00